The following is a DFT calculation (PBE with a Hubbard U) of a geometry-optimized CoW2BrO structure.

Summary:
For the spin magnetization, the calculation gives 11.071 μB/f.u. For the total energy, the calculation gives -21.50 eV per formula unit.

Lattice parameters (Å, degrees): 5.1418 3.8845 5.1418 90.00 90.00 90.00
Each line ends with the local moment (μB).
Positions (direct):
O 0.0000 0.0000 0.0000  0.16
Br 0.5000 0.5000 0.5000  0.17
Co 0.0000 0.5000 0.0000  2.28
W 0.5000 0.0000 0.0000  3.49
W 0.0000 0.0000 0.5000  3.54